[1]
DFT (PBEsol) results for crystalline BaLaPt2 at its relaxed geometry.

## Properties
* space-group type: No. 123
* V: 25.35 A^3/atom
* total magnetization: 0.00 μB/f.u.
* E above lowest polymorph: 0.00 eV per formula unit
* energy of formation: -82.70 kJ per mole of atoms

abc: 3.6774 3.6774 7.4989
angles: 90.00 90.00 90.00
Element x y z (fractional)
Ba1 0.0000 0.0000 0.0000
La1 0.0000 0.0000 0.5000
Pt1 0.5000 0.5000 0.2933
Pt2 0.5000 0.5000 0.7067

=====

[2]
DFT (PBEsol) results for crystalline BaLa2Pt at its relaxed geometry.

## Properties
* space-group type: No. 123
* V: 28.30 A^3/atom
* total magnetization: 0.00 μB/f.u.
* E above lowest polymorph: 1.59 eV per formula unit
* energy of formation: -9.23 kJ per mole of atoms

abc: 5.3090 5.3090 4.0166
angles: 90.00 90.00 90.00
Element x y z (fractional)
Ba1 0.0000 0.0000 0.0000
La1 0.0000 0.5000 0.5000
La2 0.5000 0.0000 0.5000
Pt1 0.5000 0.5000 0.0000